Entry 1:
MnSi2Rh2: optimized geometry, PBE.

POSCAR file:
```
MnSi2Rh2
1.0
7.0757 0.0000 0.0000
0.0000 7.0757 0.0000
0.0000 0.0000 2.7647
Mn Si Rh
2 4 4
Cartesian
0.0000 0.0000 0.0000
3.5378 3.5378 0.0000
1.0996 2.4382 1.3824
2.4382 5.9760 1.3824
4.6374 1.0996 1.3824
5.9760 4.6374 1.3824
1.0063 4.5441 0.0000
2.5315 1.0063 0.0000
4.5441 6.0694 0.0000
6.0694 2.5315 0.0000
```

Entry 2:
MgTaGeO6: optimized geometry, PBE.

POSCAR file:
```
MgTaGeO6
1.0
4.6855 0.0000 0.0000
0.0000 4.6855 0.0000
0.0000 0.0000 9.1061
Mg Ta Ge O
2 2 2 12
Cartesian
0.0000 0.0000 0.0000
2.3428 2.3428 4.5531
0.0000 0.0000 6.0741
2.3428 2.3428 1.5210
0.0000 0.0000 3.0199
2.3428 2.3428 7.5730
0.8742 0.8742 4.4778
0.9256 0.9256 1.6253
0.9910 0.9910 7.4626
1.3517 3.3338 2.9096
1.4172 3.2684 6.1783
1.4685 3.2170 9.0308
3.2170 1.4685 9.0308
3.2684 1.4172 6.1783
3.3338 1.3517 2.9096
3.6945 3.6945 7.4626
3.7599 3.7599 1.6253
3.8113 3.8113 4.4778
```

Entry 3:
YZnIn2N: optimized geometry, PBE.

POSCAR file:
```
YZnIn2N
1.0
5.9301 0.0000 0.0000
0.0000 5.9301 0.0000
0.0000 0.0000 5.4630
Y Zn In N
1 1 2 1
Cartesian
0.0000 0.0000 0.0000
0.0000 0.0000 2.7315
0.0000 2.9651 0.0000
2.9651 0.0000 0.0000
2.9651 2.9651 2.7315
```

Energy relative to the elements, uncorrected for every record listed, in sequence, given in meV/atom: -481, -2157, 1835.